Computed, not measured: a relaxed Sm4TeAs2Se crystal at the GGA-PBE level of DFT.

Cell and atoms, written as POSCAR:
```
Sm4TeAs2Se
1.0
7.3543 0.0000 0.0000
0.0000 4.2451 0.0000
-2.4557 0.0000 7.0600
Sm Te As Se
4 1 2 1
direct
0.2351 0.0000 0.2258
0.2494 0.5000 0.7686
0.7506 0.5000 0.2314
0.7649 0.0000 0.7742
0.5000 0.5000 0.5000
0.0000 0.5000 0.0000
0.5000 0.0000 0.0000
0.0000 0.0000 0.5000
```

Crystal system: monoclinic
Symmetry: P2/m, No. 10
Formation energy from raw total energies (meV/atom): -1619
Magnetization (Bohr magnetons per cell): 0.0

Computed, not measured: a relaxed Re2Ir6Os crystal at the GGA-PBE level of DFT.

Cell and atoms, written as POSCAR:
```
Re2Ir6Os
1.0
5.9731 -1.3683 0.0000
5.9731 1.3683 0.0000
-1.8972 0.0000 8.0200
Re Ir Os
2 6 1
direct
0.1658 0.1658 0.2232
0.8342 0.8342 0.7768
0.1666 0.1666 0.8923
0.1681 0.1681 0.5543
0.5001 0.5001 0.3289
0.4999 0.4999 0.6711
0.8319 0.8319 0.4457
0.8334 0.8334 0.1077
0.5000 0.5000 0.0000
```

Crystal system: monoclinic
Symmetry: C2/m, No. 12
Final energy (eV per formula unit): -89.890
Magnetization (Bohr magnetons per cell): 0.0

Computed, not measured: a relaxed CdAsCl2 crystal at the GGA-PBE level of DFT.

Cell and atoms, written as POSCAR:
```
CdAsCl2
1.0
0.0000 3.5342 3.5342
3.5342 0.0000 3.5342
3.5342 3.5342 0.0000
Cd As Cl
1 1 2
direct
0.0000 0.0000 0.0000
0.5000 0.5000 0.5000
0.2500 0.2500 0.2500
0.7500 0.7500 0.7500
```

Crystal system: cubic
Symmetry: Fm-3m, No. 225
Energy above the lowest structure with this stoichiometry (meV/atom): 622
Formation energy from raw total energies (meV/atom): 219
Magnetization (Bohr magnetons per cell): 0.9

Computed, not measured: a relaxed CeMgAs2 crystal at the GGA-PBE level of DFT.

Cell and atoms, written as POSCAR:
```
CeMgAs2
1.0
4.7597 0.0000 0.0000
0.0000 4.7597 0.0000
0.0000 0.0000 3.7670
Ce Mg As
1 1 2
direct
0.0000 0.0000 0.0000
0.5000 0.5000 0.0000
0.0000 0.5000 0.5000
0.5000 0.0000 0.5000
```

Crystal system: tetragonal
Symmetry: P4/mmm, No. 123
Energy above the lowest structure with this stoichiometry (meV/atom): 48
Magnetization (Bohr magnetons per cell): 0.0

Computed, not measured: a relaxed KLi2AgF5 crystal at the GGA-PBE level of DFT.

Cell and atoms, written as POSCAR:
```
KLi2AgF5
1.0
3.8835 0.0000 0.0000
0.0000 3.8835 0.0000
0.0000 0.0000 7.5268
K Li Ag F
1 2 1 5
direct
0.0000 0.0000 0.0000
0.5000 0.5000 0.2511
0.5000 0.5000 0.7489
0.0000 0.0000 0.5000
0.0000 0.5000 0.3152
0.0000 0.5000 0.6848
0.5000 0.0000 0.3152
0.5000 0.0000 0.6848
0.5000 0.5000 0.0000
```

Crystal system: tetragonal
Symmetry: P4/mmm, No. 123
Formation energy from raw total energies (meV/atom): -2258
Magnetization (Bohr magnetons per cell): 1.0

Computed, not measured: a relaxed CaPmCu2 crystal at the GGA-PBE level of DFT.

Cell and atoms, written as POSCAR:
```
CaPmCu2
1.0
4.4097 0.0000 0.0000
0.0000 1.9821 5.3811
0.0000 -1.9821 5.3811
Ca Pm Cu
1 1 2
direct
0.0000 0.0000 0.0000
0.5000 0.7198 0.7198
0.0000 0.2902 0.2902
0.5000 0.4230 0.4230
```

Crystal system: orthorhombic
Symmetry: Amm2, No. 38
Energy above the lowest structure with this stoichiometry (meV/atom): 0
Magnetization (Bohr magnetons per cell): 0.0

Computed, not measured: a relaxed LiBi2RhC crystal at the GGA-PBE level of DFT.

Cell and atoms, written as POSCAR:
```
LiBi2RhC
1.0
5.6227 0.0000 0.0000
0.0000 5.6227 0.0000
0.0000 0.0000 3.7467
Li Bi Rh C
1 2 1 1
direct
0.0000 0.0000 0.0000
0.0000 0.5000 0.5000
0.5000 0.0000 0.5000
0.5000 0.5000 0.5000
0.5000 0.5000 0.0000
```

Crystal system: tetragonal
Symmetry: P4/mmm, No. 123
Final energy (eV per formula unit): -23.795
Magnetization (Bohr magnetons per cell): 0.0

Computed, not measured: a relaxed BaLa2MnAl crystal at the GGA-PBE level of DFT.

Cell and atoms, written as POSCAR:
```
BaLa2MnAl
1.0
5.3174 0.0000 0.0000
0.0000 5.3174 0.0000
0.0000 0.0000 5.1648
Ba La Mn Al
1 2 1 1
direct
0.0000 0.0000 0.0000
0.0000 0.5000 0.5000
0.5000 0.0000 0.5000
0.5000 0.5000 0.5000
0.5000 0.5000 0.0000
```

Crystal system: tetragonal
Symmetry: P4/mmm, No. 123
Final energy (eV per formula unit): -24.348
Magnetization (Bohr magnetons per cell): 0.0